Material: Li2V3CuO8
Method: DFT, meta-GGA SCAN
State: PBEsol geometry

Properties
- space-group type = R3m
- relative energy among the computed polymorphs (eV per atom) = 0.033
- E_form (uncorrected) (eV per atom) = -2.303
- Fermi-level density of states (states/eV per cell) = 3.7

Unit cell a=5.652 b=5.652 c=5.883 alpha=61.29 beta=61.29 gamma=60.00
Fractional positions:
1 V 0.499 0.499 0.002
2 V 0.499 0.999 0.002
3 V 0.999 0.499 0.002
4 Li 0.501 0.501 0.496
5 Li 0.875 0.875 0.374
6 O 0.713 0.251 0.784
7 O 0.251 0.713 0.784
8 O 0.751 0.286 0.212
9 O 0.286 0.751 0.212
10 O 0.251 0.251 0.784
11 O 0.257 0.257 0.229
12 O 0.740 0.740 0.780
13 O 0.751 0.751 0.212
14 Cu 0.125 0.125 0.624